one | # ZrCuAg2 (PBE-GGA, relaxed)
# Fermi-level density of states ... 2.02 states/eV/f.u.
# Space group ... P4/mmm
data_ZrCuAg2
_chemical_formula_sum 'Zr1 Cu1 Ag2'
_space_group_name_H-M_alt 'P 1'
_space_group_IT_number 1
_space_group_name_Hall 'P 1'
_cell_length_a 3.021
_cell_length_b 3.021
_cell_length_c 7.681
_cell_angle_alpha 90.00
_cell_angle_beta 90.00
_cell_angle_gamma 90.00
loop_
_atom_site_label
_atom_site_fract_x
_atom_site_fract_y
_atom_site_fract_z
Zr1 0.000 0.000 0.000
Cu1 0.000 0.000 0.500
Ag1 0.500 0.500 0.283
Ag2 0.500 0.500 0.717

***

two | # ZrCuAg2 (PBE-GGA, relaxed)
# Fermi-level density of states ... 1.98 states/eV/f.u.
# Space group ... C2/m
data_ZrCuAg2
_chemical_formula_sum 'Zr2 Cu2 Ag4'
_space_group_name_H-M_alt 'P 1'
_space_group_IT_number 1
_space_group_name_Hall 'P 1'
_cell_length_a 5.639
_cell_length_b 10.162
_cell_length_c 2.827
_cell_angle_alpha 90.00
_cell_angle_beta 116.14
_cell_angle_gamma 90.00
loop_
_atom_site_label
_atom_site_fract_x
_atom_site_fract_y
_atom_site_fract_z
Zr1 0.000 0.000 0.000
Zr2 0.500 0.500 0.000
Cu1 0.000 0.500 0.000
Cu2 0.500 0.000 0.000
Ag1 0.250 0.250 0.500
Ag2 0.250 0.750 0.500
Ag3 0.750 0.250 0.500
Ag4 0.750 0.750 0.500

***

three | # ZrCuAg2 (PBE-GGA, relaxed)
# Fermi-level density of states ... 2.94 states/eV/f.u.
# Space group ... Pmmm
data_ZrCuAg2
_chemical_formula_sum 'Zr1 Cu1 Ag2'
_space_group_name_H-M_alt 'P 1'
_space_group_IT_number 1
_space_group_name_Hall 'P 1'
_cell_length_a 2.995
_cell_length_b 4.810
_cell_length_c 5.008
_cell_angle_alpha 90.00
_cell_angle_beta 90.00
_cell_angle_gamma 90.00
loop_
_atom_site_label
_atom_site_fract_x
_atom_site_fract_y
_atom_site_fract_z
Zr1 0.000 0.000 0.000
Cu1 0.500 0.500 0.000
Ag1 0.000 0.500 0.500
Ag2 0.500 0.000 0.500

***

four | # ZrCuAg2 (PBE-GGA, relaxed)
# Fermi-level density of states ... 2.55 states/eV/f.u.
# Space group ... P4/mmm
data_ZrCuAg2
_chemical_formula_sum 'Zr1 Cu1 Ag2'
_space_group_name_H-M_alt 'P 1'
_space_group_IT_number 1
_space_group_name_Hall 'P 1'
_cell_length_a 4.949
_cell_length_b 4.949
_cell_length_c 2.973
_cell_angle_alpha 90.00
_cell_angle_beta 90.00
_cell_angle_gamma 90.00
loop_
_atom_site_label
_atom_site_fract_x
_atom_site_fract_y
_atom_site_fract_z
Zr1 0.000 0.000 0.000
Cu1 0.500 0.500 0.000
Ag1 0.000 0.500 0.500
Ag2 0.500 0.000 0.500

***

Which of them is least stable? Easy: four.

***

one | # ZrCuAg2 (PBE-GGA, relaxed)
# Fermi-level density of states ... 2.45 states/eV/f.u.
# Space group ... Pm
data_ZrCuAg2
_chemical_formula_sum 'Zr1 Cu1 Ag2'
_space_group_name_H-M_alt 'P 1'
_space_group_IT_number 1
_space_group_name_Hall 'P 1'
_cell_length_a 2.858
_cell_length_b 4.331
_cell_length_c 5.939
_cell_angle_alpha 90.00
_cell_angle_beta 103.26
_cell_angle_gamma 90.00
loop_
_atom_site_label
_atom_site_fract_x
_atom_site_fract_y
_atom_site_fract_z
Zr1 0.000 0.000 0.000
Cu1 0.403 0.500 0.789
Ag1 0.256 0.000 0.526
Ag2 0.642 0.500 0.292

***

two | # ZrCuAg2 (PBE-GGA, relaxed)
# Fermi-level density of states ... 2.40 states/eV/f.u.
# Space group ... C2/m
data_ZrCuAg2
_chemical_formula_sum 'Zr2 Cu2 Ag4'
_space_group_name_H-M_alt 'P 1'
_space_group_IT_number 1
_space_group_name_Hall 'P 1'
_cell_length_a 9.979
_cell_length_b 3.023
_cell_length_c 4.844
_cell_angle_alpha 90.00
_cell_angle_beta 105.26
_cell_angle_gamma 90.00
loop_
_atom_site_label
_atom_site_fract_x
_atom_site_fract_y
_atom_site_fract_z
Zr1 0.000 0.000 0.000
Zr2 0.500 0.500 0.000
Cu1 0.000 0.500 0.500
Cu2 0.500 0.000 0.500
Ag1 0.233 0.000 0.735
Ag2 0.267 0.500 0.265
Ag3 0.733 0.500 0.735
Ag4 0.767 0.000 0.265

***

Which of them is least stable? Easy: two.

***

one | # ZrCuAg2 (PBE-GGA, relaxed)
# Fermi-level density of states ... 3.31 states/eV/f.u.
# Space group ... R-3m
data_ZrCuAg2
_chemical_formula_sum 'Zr3 Cu3 Ag6'
_space_group_name_H-M_alt 'P 1'
_space_group_IT_number 1
_space_group_name_Hall 'P 1'
_cell_length_a 2.977
_cell_length_b 2.977
_cell_length_c 27.948
_cell_angle_alpha 90.00
_cell_angle_beta 90.00
_cell_angle_gamma 120.00
loop_
_atom_site_label
_atom_site_fract_x
_atom_site_fract_y
_atom_site_fract_z
Zr1 0.000 0.000 0.000
Zr2 0.333 0.667 0.667
Zr3 0.667 0.333 0.333
Cu1 0.000 0.000 0.500
Cu2 0.333 0.667 0.167
Cu3 0.667 0.333 0.833
Ag1 0.000 0.000 0.242
Ag2 0.000 0.000 0.758
Ag3 0.333 0.667 0.425
Ag4 0.333 0.667 0.908
Ag5 0.667 0.333 0.092
Ag6 0.667 0.333 0.575

***

two | # ZrCuAg2 (PBE-GGA, relaxed)
# Fermi-level density of states ... 3.89 states/eV/f.u.
# Space group ... I-4m2
data_ZrCuAg2
_chemical_formula_sum 'Zr2 Cu2 Ag4'
_space_group_name_H-M_alt 'P 1'
_space_group_IT_number 1
_space_group_name_Hall 'P 1'
_cell_length_a 4.651
_cell_length_b 4.651
_cell_length_c 6.496
_cell_angle_alpha 90.00
_cell_angle_beta 90.00
_cell_angle_gamma 90.00
loop_
_atom_site_label
_atom_site_fract_x
_atom_site_fract_y
_atom_site_fract_z
Zr1 0.000 0.000 0.000
Zr2 0.500 0.500 0.500
Cu1 0.000 0.500 0.250
Cu2 0.500 0.000 0.750
Ag1 0.000 0.000 0.500
Ag2 0.000 0.500 0.750
Ag3 0.500 0.000 0.250
Ag4 0.500 0.500 0.000

***

three | # ZrCuAg2 (PBE-GGA, relaxed)
# Fermi-level density of states ... 2.48 states/eV/f.u.
# Space group ... R3m
data_ZrCuAg2
_chemical_formula_sum 'Zr3 Cu3 Ag6'
_space_group_name_H-M_alt 'P 1'
_space_group_IT_number 1
_space_group_name_Hall 'P 1'
_cell_length_a 3.000
_cell_length_b 3.000
_cell_length_c 27.762
_cell_angle_alpha 90.00
_cell_angle_beta 90.00
_cell_angle_gamma 120.00
loop_
_atom_site_label
_atom_site_fract_x
_atom_site_fract_y
_atom_site_fract_z
Zr1 0.000 0.000 0.000
Zr2 0.333 0.667 0.667
Zr3 0.667 0.333 0.333
Cu1 0.000 0.000 0.253
Cu2 0.333 0.667 0.919
Cu3 0.667 0.333 0.586
Ag1 0.000 0.000 0.510
Ag2 0.000 0.000 0.758
Ag3 0.333 0.667 0.177
Ag4 0.333 0.667 0.425
Ag5 0.667 0.333 0.091
Ag6 0.667 0.333 0.844

***

four | # ZrCuAg2 (PBE-GGA, relaxed)
# Fermi-level density of states ... 2.30 states/eV/f.u.
# Space group ... P2/m
data_ZrCuAg2
_chemical_formula_sum 'Zr1 Cu1 Ag2'
_space_group_name_H-M_alt 'P 1'
_space_group_IT_number 1
_space_group_name_Hall 'P 1'
_cell_length_a 2.836
_cell_length_b 4.667
_cell_length_c 5.435
_cell_angle_alpha 90.00
_cell_angle_beta 99.59
_cell_angle_gamma 90.00
loop_
_atom_site_label
_atom_site_fract_x
_atom_site_fract_y
_atom_site_fract_z
Zr1 0.000 0.000 0.000
Cu1 0.500 0.000 0.500
Ag1 0.353 0.500 0.735
Ag2 0.647 0.500 0.265

***

Which of them is least stable? Easy: one.

***

one | # Zr4CuAg (PBE-GGA, relaxed)
# Fermi-level density of states ... 3.66 states/eV/f.u.
# Space group ... P4/mmm
data_Zr4CuAg
_chemical_formula_sum 'Zr4 Cu1 Ag1'
_space_group_name_H-M_alt 'P 1'
_space_group_IT_number 1
_space_group_name_Hall 'P 1'
_cell_length_a 3.244
_cell_length_b 3.244
_cell_length_c 11.745
_cell_angle_alpha 90.00
_cell_angle_beta 90.00
_cell_angle_gamma 90.00
loop_
_atom_site_label
_atom_site_fract_x
_atom_site_fract_y
_atom_site_fract_z
Zr1 0.000 0.000 0.147
Zr2 0.000 0.000 0.853
Zr3 0.500 0.500 0.328
Zr4 0.500 0.500 0.672
Cu1 0.500 0.500 0.000
Ag1 0.000 0.000 0.500

***

two | # Zr4CuAg (PBE-GGA, relaxed)
# Fermi-level density of states ... 5.63 states/eV/f.u.
# Space group ... F-43m
data_Zr4CuAg
_chemical_formula_sum 'Zr4 Cu1 Ag1'
_space_group_name_H-M_alt 'P 1'
_space_group_IT_number 1
_space_group_name_Hall 'P 1'
_cell_length_a 5.680
_cell_length_b 5.680
_cell_length_c 5.680
_cell_angle_alpha 60.00
_cell_angle_beta 60.00
_cell_angle_gamma 60.00
loop_
_atom_site_label
_atom_site_fract_x
_atom_site_fract_y
_atom_site_fract_z
Zr1 0.125 0.125 0.125
Zr2 0.125 0.125 0.624
Zr3 0.125 0.624 0.125
Zr4 0.624 0.125 0.125
Cu1 0.500 0.500 0.500
Ag1 0.750 0.750 0.750

***

Which of them is least stable? Easy: two.

***

one | # ZrCuAg (PBE-GGA, relaxed)
# Fermi-level density of states ... 3.98 states/eV/f.u.
# Space group ... F-43m
data_ZrCuAg
_chemical_formula_sum 'Zr4 Cu4 Ag4'
_space_group_name_H-M_alt 'P 1'
_space_group_IT_number 1
_space_group_name_Hall 'P 1'
_cell_length_a 6.172
_cell_length_b 6.172
_cell_length_c 6.172
_cell_angle_alpha 90.00
_cell_angle_beta 90.00
_cell_angle_gamma 90.00
loop_
_atom_site_label
_atom_site_fract_x
_atom_site_fract_y
_atom_site_fract_z
Zr1 0.000 0.000 0.000
Zr2 0.000 0.500 0.500
Zr3 0.500 0.000 0.500
Zr4 0.500 0.500 0.000
Cu1 0.250 0.250 0.750
Cu2 0.250 0.750 0.250
Cu3 0.750 0.250 0.250
Cu4 0.750 0.750 0.750
Ag1 0.000 0.000 0.500
Ag2 0.000 0.500 0.000
Ag3 0.500 0.000 0.000
Ag4 0.500 0.500 0.500

***

two | # ZrCuAg (PBE-GGA, relaxed)
# Fermi-level density of states ... 1.80 states/eV/f.u.
# Space group ... Imm2
data_ZrCuAg
_chemical_formula_sum 'Zr2 Cu2 Ag2'
_space_group_name_H-M_alt 'P 1'
_space_group_IT_number 1
_space_group_name_Hall 'P 1'
_cell_length_a 3.341
_cell_length_b 3.529
_cell_length_c 8.935
_cell_angle_alpha 90.00
_cell_angle_beta 90.00
_cell_angle_gamma 90.00
loop_
_atom_site_label
_atom_site_fract_x
_atom_site_fract_y
_atom_site_fract_z
Zr1 0.000 0.000 0.000
Zr2 0.500 0.500 0.500
Cu1 0.000 0.000 0.335
Cu2 0.500 0.500 0.835
Ag1 0.000 0.000 0.684
Ag2 0.500 0.500 0.184

***

Which of them is least stable? Easy: one.

***

one | # ZrCuAg (PBE-GGA, relaxed)
# Fermi-level density of states ... 2.87 states/eV/f.u.
# Space group ... C2/m
data_ZrCuAg
_chemical_formula_sum 'Zr4 Cu4 Ag4'
_space_group_name_H-M_alt 'P 1'
_space_group_IT_number 1
_space_group_name_Hall 'P 1'
_cell_length_a 12.327
_cell_length_b 3.599
_cell_length_c 4.966
_cell_angle_alpha 90.00
_cell_angle_beta 101.30
_cell_angle_gamma 90.00
loop_
_atom_site_label
_atom_site_fract_x
_atom_site_fract_y
_atom_site_fract_z
Zr1 0.129 0.000 0.314
Zr2 0.371 0.500 0.686
Zr3 0.629 0.500 0.314
Zr4 0.871 0.000 0.686
Cu1 0.231 0.000 0.836
Cu2 0.269 0.500 0.164
Cu3 0.731 0.500 0.836
Cu4 0.769 0.000 0.164
Ag1 0.066 0.500 0.780
Ag2 0.434 0.000 0.220
Ag3 0.566 0.000 0.780
Ag4 0.934 0.500 0.220

***

two | # ZrCuAg (PBE-GGA, relaxed)
# Fermi-level density of states ... 1.85 states/eV/f.u.
# Space group ... P3m1
data_ZrCuAg
_chemical_formula_sum 'Zr1 Cu1 Ag1'
_space_group_name_H-M_alt 'P 1'
_space_group_IT_number 1
_space_group_name_Hall 'P 1'
_cell_length_a 3.026
_cell_length_b 3.026
_cell_length_c 6.858
_cell_angle_alpha 90.00
_cell_angle_beta 90.00
_cell_angle_gamma 120.00
loop_
_atom_site_label
_atom_site_fract_x
_atom_site_fract_y
_atom_site_fract_z
Zr1 0.000 0.000 0.000
Cu1 0.667 0.333 0.676
Ag1 0.333 0.667 0.370

***

Which of them is least stable? Easy: two.